(1)
DFT (GGA-PBE) results for a geometry-optimized LaPr2Y structure.

## Properties
space group	P4/mmm

a b c (Å): 5.202 5.202 5.220
angles (deg): 90.00 90.00 90.00
Element x y z (fractional)
La 0.000 0.000 0.000
Pr 0.000 0.500 0.500
Pr 0.500 0.000 0.500
Y 0.500 0.500 0.000

(2)
DFT (GGA-PBE) results for a geometry-optimized InFeRe structure.

## Properties
space group	I4mm

a b c (Å): 2.891 2.891 11.154
angles (deg): 90.00 90.00 90.00
Element x y z (fractional)
In 0.000 0.000 0.000
In 0.500 0.500 0.500
Fe 0.000 0.000 0.322
Fe 0.500 0.500 0.822
Re 0.000 0.000 0.696
Re 0.500 0.500 0.196

(3)
DFT (GGA-PBE) results for a geometry-optimized Nd2MgV structure.

## Properties
space group	R-3m

a b c (Å): 3.300 3.300 34.952
angles (deg): 90.00 90.00 120.00
Element x y z (fractional)
Nd 0.000 0.000 0.081
Nd 0.000 0.000 0.919
Nd 0.333 0.667 0.586
Nd 0.333 0.667 0.748
Nd 0.667 0.333 0.252
Nd 0.667 0.333 0.414
Mg 0.000 0.000 0.500
Mg 0.333 0.667 0.167
Mg 0.667 0.333 0.833
V 0.000 0.000 0.000
V 0.333 0.667 0.667
V 0.667 0.333 0.333

(4)
DFT (GGA-PBE) results for a geometry-optimized K2CdP structure.

## Properties
space group	Amm2

a b c (Å): 4.463 5.226 12.000
angles (deg): 90.00 90.00 90.00
Element x y z (fractional)
K 0.000 0.000 0.000
K 0.000 0.500 0.500
K 0.500 0.000 0.294
K 0.500 0.500 0.794
Cd 0.500 0.000 0.607
Cd 0.500 0.500 0.107
P 0.000 0.000 0.712
P 0.000 0.500 0.212

Computed values of density of states at the Fermi level (unit: states/eV per cell) for the preceding records, in sequence: 6.44; 5.18; 20.00; 5.40.
Computed values of magnetic moment (unit: μB per formula unit) for the preceding records, in sequence: 0.00; 1.27; 2.70; 0.00.
Computed values of calculated total energy (unit: eV per atom) for the preceding records, in sequence: -5.23; -7.61; -4.44; -2.31.